Here is crystalline MnNbZnSe2 at its relaxed geometry from the Alexandria database. Energies are from GGA-PBE.

The structure in POSCAR format:
```
MnNbZnSe2
1.0
4.561 0.000 0.000
0.000 4.561 0.000
0.000 0.000 4.535
Mn Nb Zn Se
1 1 1 2
Cartesian
0.000 0.000 0.000
2.280 2.280 2.267
0.000 0.000 2.267
0.000 2.280 0.000
2.280 0.000 0.000
```

Results
For the uncorrected formation energy, the calculation gives 0.74 eV/atom. Its density of states at the Fermi level is 1.880 states/eV per atom.